A plane-wave DFT calculation with GGA-PBE was carried out for a relaxed CdFeAg2 crystal.

a b c (Å): 5.0643 5.0643 5.0322
angles (deg): 101.40 101.40 33.12
Fractional coordinates of all 4 atoms:
Cd 0.0000 0.0000 0.0000
Fe 0.2556 0.2556 0.7461
Ag 0.5138 0.5138 0.5143
Ag 0.7573 0.7573 0.2551

Computed properties:
formation energy = 0.28 eV per atom
size of the total moment = 2.92 μB per cell



A plane-wave DFT calculation with GGA-PBE was carried out for a relaxed PmHoHgPt crystal.

a b c (Å): 5.1477 5.1477 5.1477
angles (deg): 60.00 60.00 60.00
Fractional coordinates of all 4 atoms:
Pm 0.0000 0.0000 0.0000
Ho 0.5000 0.5000 0.5000
Hg 0.2500 0.2500 0.2500
Pt 0.7500 0.7500 0.7500

Computed properties:
formation energy = -0.78 eV per atom
size of the total moment = 0.00 μB per cell